(1)
{"formula": "ReBiP2Cl", "functional": "GGA-PBE", "state": "optimized geometry", "lattice": [[5.306, 0.000, 0.000], [0.000, 5.306, 0.000], [0.000, 0.000, 5.160]], "species": ["Re", "Bi", "P", "P", "Cl"], "fractional_positions": [[0.000, 0.000, 0.000], [0.500, 0.500, 0.500], [0.000, 0.500, 0.500], [0.500, 0.000, 0.500], [0.500, 0.500, 0.000]], "rho_g_cm3": 5.630, "e_form_raw_ev_per_atom": 1.793, "m_tot_mub_per_atom": 0.79, "polymorph_energy_mev_per_atom": 1351}

***

(2)
{"formula": "ReBi2PCl", "functional": "GGA-PBE", "state": "optimized geometry", "lattice": [[5.467, 0.000, 0.000], [0.000, 5.467, 0.000], [0.000, 0.000, 4.494]], "species": ["Re", "Bi", "Bi", "P", "Cl"], "fractional_positions": [[0.000, 0.000, 0.000], [0.000, 0.500, 0.000], [0.500, 0.000, 0.000], [0.000, 0.000, 0.500], [0.500, 0.500, 0.500]], "rho_g_cm3": 8.292, "e_form_raw_ev_per_atom": 0.307, "m_tot_mub_per_atom": 0.00}

***

(3)
{"formula": "BiP2RhCl", "functional": "GGA-PBE", "state": "optimized geometry", "lattice": [[4.684, 0.000, 0.000], [0.000, 4.684, 0.000], [0.000, 0.000, 4.795]], "species": ["Bi", "P", "P", "Rh", "Cl"], "fractional_positions": [[0.000, 0.000, 0.000], [0.000, 0.500, 0.500], [0.500, 0.000, 0.500], [0.500, 0.500, 0.500], [0.500, 0.500, 0.000]], "rho_g_cm3": 6.459, "e_form_raw_ev_per_atom": 0.274, "m_tot_mub_per_atom": 0.00, "polymorph_energy_mev_per_atom": 0}

***

(4)
{"formula": "BiP2RhCl", "functional": "GGA-PBE", "state": "optimized geometry", "lattice": [[5.278, 0.000, 0.000], [0.000, 5.278, 0.000], [0.000, 0.000, 5.276]], "species": ["Bi", "P", "P", "Rh", "Cl"], "fractional_positions": [[0.000, 0.000, 0.000], [0.000, 0.500, 0.000], [0.500, 0.000, 0.000], [0.500, 0.500, 0.500], [0.000, 0.000, 0.500]], "rho_g_cm3": 4.624, "e_form_raw_ev_per_atom": 1.396, "m_tot_mub_per_atom": 0.56, "polymorph_energy_mev_per_atom": 1122}

***

(5)
{"formula": "BiPRhCl2", "functional": "GGA-PBE", "state": "optimized geometry", "lattice": [[4.739, 0.000, 0.000], [0.000, 4.739, 0.000], [0.000, 0.000, 4.821]], "species": ["Bi", "P", "Rh", "Cl", "Cl"], "fractional_positions": [[0.000, 0.000, 0.000], [0.500, 0.500, 0.000], [0.500, 0.500, 0.500], [0.000, 0.500, 0.500], [0.500, 0.000, 0.500]], "rho_g_cm3": 6.345, "e_form_raw_ev_per_atom": 0.069, "m_tot_mub_per_atom": 0.00, "polymorph_energy_mev_per_atom": 0}

***

(6)
{"formula": "BiPRhCl2", "functional": "GGA-PBE", "state": "optimized geometry", "lattice": [[5.281, 0.000, 0.000], [0.000, 5.281, 0.000], [0.000, 0.000, 5.536]], "species": ["Bi", "P", "Rh", "Cl", "Cl"], "fractional_positions": [[0.000, 0.000, 0.000], [0.000, 0.000, 0.500], [0.500, 0.500, 0.500], [0.000, 0.500, 0.000], [0.500, 0.000, 0.000]], "rho_g_cm3": 4.451, "e_form_raw_ev_per_atom": 0.806, "m_tot_mub_per_atom": 0.45, "polymorph_energy_mev_per_atom": 737}

***

D(E_F) for every record listed, in sequence, given in states/eV/cell: 3.33 4.37 3.47 8.54 2.04 6.54.